DFT (SCAN) results for a crystal of SrAs2Se relaxed with PBEsol.

Calculated values
- E (eV/cell) = -83.63
- energy relative to the elements, uncorrected (meV/atom) = -223.8
- space group = R-3m, No. 166
- N(E_F) (states/eV per cell) = 0.619
- spin magnetization (μB/f.u.) = 0.00

a b c (Å): 7.443 7.443 7.443
angles (deg): 31.49 31.49 31.49
Sites, in units of the cell vectors:
1 Sr 0.000 0.000 0.000
2 As 0.234 0.234 0.234
3 As 0.766 0.766 0.766
4 Se 0.500 0.500 0.500

=====

DFT (SCAN) results for a crystal of CoP2CS relaxed with PBEsol.

Calculated values
- E (eV/cell) = -48.70
- energy relative to the elements, uncorrected (meV/atom) = 1825.8
- space group = P4/mmm, No. 123
- N(E_F) (states/eV per cell) = 2.975
- spin magnetization (μB/f.u.) = 0.00

a b c (Å): 4.106 4.106 4.580
angles (deg): 90.00 90.00 90.00
Sites, in units of the cell vectors:
1 Co 0.000 0.000 0.000
2 P 0.000 0.500 0.000
3 P 0.500 0.000 0.000
4 C 0.500 0.500 0.500
5 S 0.000 0.000 0.500

=====

DFT (SCAN) results for a crystal of Al2SeCl relaxed with PBEsol.

Calculated values
- E (eV/cell) = -44.79
- energy relative to the elements, uncorrected (meV/atom) = -306.8
- space group = P4mm, No. 99
- energy above the most stable polymorph in this dataset (meV/atom) = 132
- N(E_F) (states/eV per cell) = 1.313
- spin magnetization (μB/f.u.) = 0.00

a b c (Å): 3.108 3.108 8.224
angles (deg): 90.00 90.00 90.00
Sites, in units of the cell vectors:
1 Al 0.000 0.000 0.000
2 Al 0.500 0.500 0.239
3 Se 0.500 0.500 0.822
4 Cl 0.000 0.000 0.429

=====

DFT (SCAN) results for a crystal of LiAlCoS2 relaxed with PBEsol.

Calculated values
- E (eV/cell) = -44.03
- energy relative to the elements, uncorrected (meV/atom) = 534.8
- space group = P4/mmm, No. 123
- N(E_F) (states/eV per cell) = 2.301
- spin magnetization (μB/f.u.) = 2.43

a b c (Å): 4.535 4.535 4.582
angles (deg): 90.00 90.00 90.00
Sites, in units of the cell vectors:
1 Li 0.000 0.000 0.000
2 Al 0.000 0.000 0.500
3 Co 0.500 0.500 0.000
4 S 0.000 0.500 0.500
5 S 0.500 0.000 0.500

=====

Question: E of number 4 (LiAlCoS2)?
Answer: -44.03 eV/cell

=====

Repeat the third record exactly.
DFT (SCAN) results for a crystal of Al2SeCl relaxed with PBEsol.

Calculated values
- E (eV/cell) = -44.79
- energy relative to the elements, uncorrected (meV/atom) = -306.8
- space group = P4mm, No. 99
- energy above the most stable polymorph in this dataset (meV/atom) = 132
- N(E_F) (states/eV per cell) = 1.313
- spin magnetization (μB/f.u.) = 0.00

a b c (Å): 3.108 3.108 8.224
angles (deg): 90.00 90.00 90.00
Sites, in units of the cell vectors:
1 Al 0.000 0.000 0.000
2 Al 0.500 0.500 0.239
3 Se 0.500 0.500 0.822
4 Cl 0.000 0.000 0.429

=====

Question: Which value of spin magnetization does entry 3 give?
Answer: 0.00 μB/f.u.

=====

What did the fourth record say?
DFT (SCAN) results for a crystal of LiAlCoS2 relaxed with PBEsol.

Calculated values
- E (eV/cell) = -44.03
- energy relative to the elements, uncorrected (meV/atom) = 534.8
- space group = P4/mmm, No. 123
- N(E_F) (states/eV per cell) = 2.301
- spin magnetization (μB/f.u.) = 2.43

a b c (Å): 4.535 4.535 4.582
angles (deg): 90.00 90.00 90.00
Sites, in units of the cell vectors:
1 Li 0.000 0.000 0.000
2 Al 0.000 0.000 0.500
3 Co 0.500 0.500 0.000
4 S 0.000 0.500 0.500
5 S 0.500 0.000 0.500